## YHo2Th (GGA-PBE)

Data for YHo2Th after structural relaxation.

Calculated values
The value obtained for the total energy is -22.44 eV per formula unit. The value obtained for the total magnetization is 0.01 μB/cell. As for the mass density: 8.429 g/cm³.

Cell lengths 8.0044, 8.0044, 8.0044 Å; angles 90.00, 90.00, 90.00 degrees
Space group Fm-3m (No. 225)
Inequivalent atoms, fractional coordinates:
Y 0.0000 0.0000 0.0000 (multiplicity 4)
Ho 0.2500 0.2500 0.2500 (multiplicity 8)
Th 0.0000 0.0000 0.5000 (multiplicity 4)

***

## Y6Ho3Th (GGA-PBE)

Data for Y6Ho3Th after structural relaxation.

Calculated values
The value obtained for the total energy is -58.31 eV per formula unit. The value obtained for the total magnetization is 0.00 μB/cell. As for the mass density: 6.379 g/cm³.

Cell lengths 11.0933, 18.8567, 6.2733 Å; angles 90.00, 90.00, 90.00 degrees
Space group Cmc2_1 (No. 36)
Inequivalent atoms, fractional coordinates:
Y 0.0000 0.0466 0.0000 (multiplicity 4)
Y 0.0000 0.2735 0.7509 (multiplicity 4)
Y 0.1635 0.4559 0.6411 (multiplicity 8)
Y 0.2455 0.2911 0.4703 (multiplicity 8)
Ho 0.0000 0.3876 0.1713 (multiplicity 4)
Ho 0.1729 0.1107 0.5560 (multiplicity 8)
Th 0.0000 0.2052 0.2507 (multiplicity 4)

***

## Y3Ho5Th (GGA-PBE)

Data for Y3Ho5Th after structural relaxation.

Calculated values
The value obtained for the total energy is -49.10 eV per formula unit. The value obtained for the total magnetization is 0.00 μB/cell. As for the mass density: 7.755 g/cm³.

Cell lengths 9.7034, 9.7034, 6.9502 Å; angles 90.00, 90.00, 120.00 degrees
Space group P6_3/mcm (No. 193)
Inequivalent atoms, fractional coordinates:
Y 0.0000 0.3333 0.2500 (multiplicity 6)
Ho 0.0000 0.3330 0.7500 (multiplicity 6)
Ho 0.3333 0.6667 0.0000 (multiplicity 4)
Th 0.0000 0.0000 0.0000 (multiplicity 2)

***

## Y2Ho5Th3 (GGA-PBE)

Data for Y2Ho5Th3 after structural relaxation.

Calculated values
The value obtained for the total energy is -57.72 eV per formula unit. The value obtained for the total magnetization is 0.00 μB/cell. As for the mass density: 8.894 g/cm³.

Cell lengths 11.2002, 5.0285, 11.2622 Å; angles 90.00, 90.50, 90.00 degrees
Space group C2/m (No. 12)
Inequivalent atoms, fractional coordinates:
Y 0.0980 0.0000 0.2985 (multiplicity 4)
Ho 0.0000 0.5000 0.5000 (multiplicity 2)
Ho 0.1994 0.0000 0.6011 (multiplicity 4)
Ho 0.2002 0.5000 0.0995 (multiplicity 4)
Th 0.0000 0.0000 0.0000 (multiplicity 2)
Th 0.0989 0.5000 0.8000 (multiplicity 4)

***

## Y3HoTh4 (GGA-PBE)

Data for Y3HoTh4 after structural relaxation.

Calculated values
The value obtained for the total energy is -52.55 eV per formula unit. The value obtained for the total magnetization is 0.00 μB/cell. As for the mass density: 8.716 g/cm³.

Cell lengths 3.4375, 11.4265, 13.1917 Å; angles 90.00, 90.00, 90.00 degrees
Space group Immm (No. 71)
Inequivalent atoms, fractional coordinates:
Y 0.0000 0.0000 0.0000 (multiplicity 2)
Y 0.0000 0.5000 0.2359 (multiplicity 4)
Ho 0.0000 0.0000 0.5000 (multiplicity 2)
Th 0.0000 0.2511 0.3704 (multiplicity 8)

***

## YHo3Th2 (GGA-PBE)

Data for YHo3Th2 after structural relaxation.

Calculated values
The value obtained for the total energy is -34.86 eV per formula unit. The value obtained for the total magnetization is 0.00 μB/cell. As for the mass density: 9.160 g/cm³.

Cell lengths 10.0223, 3.5653, 10.6316 Å; angles 90.00, 90.02, 90.00 degrees
Space group P2_1/m (No. 11)
Inequivalent atoms, fractional coordinates:
Y 0.1237 0.2500 0.2504 (multiplicity 2)
Ho 0.1325 0.2500 0.9180 (multiplicity 2)
Ho 0.3700 0.7500 0.4183 (multiplicity 2)
Ho 0.3756 0.7500 0.7503 (multiplicity 2)
Th 0.1238 0.2500 0.5821 (multiplicity 2)
Th 0.3788 0.7500 0.0820 (multiplicity 2)

***

## Y11Ho9Th4 (GGA-PBE)

Data for Y11Ho9Th4 after structural relaxation.

Calculated values
The value obtained for the total energy is -139.31 eV per formula unit. The value obtained for the total magnetization is 0.00 μB/cell. As for the mass density: 7.188 g/cm³.

Cell lengths 16.7676, 25.2233, 3.7041 Å; angles 90.00, 90.00, 90.00 degrees
Space group Cmmm (No. 65)
Inequivalent atoms, fractional coordinates:
Y 0.0000 0.0000 0.0000 (multiplicity 2)
Y 0.0000 0.1591 0.0000 (multiplicity 4)
Y 0.0000 0.3639 0.0000 (multiplicity 4)
Y 0.2156 0.5000 0.0000 (multiplicity 4)
Y 0.2264 0.1809 0.0000 (multiplicity 8)
Ho 0.0000 0.5000 0.5000 (multiplicity 2)
Ho 0.1012 0.2642 0.5000 (multiplicity 8)
Ho 0.1389 0.0728 0.5000 (multiplicity 8)
Th 0.1551 0.3996 0.5000 (multiplicity 8)

***

## Y2Ho3Th2 (GGA-PBE)

Data for Y2Ho3Th2 after structural relaxation.

Calculated values
The value obtained for the total energy is -40.52 eV per formula unit. The value obtained for the total magnetization is 0.00 μB/cell. As for the mass density: 8.390 g/cm³.

Cell lengths 17.4301, 3.4430, 8.5802 Å; angles 90.00, 119.09, 90.00 degrees
Space group C2/m (No. 12)
Inequivalent atoms, fractional coordinates:
Y 0.0637 0.0000 0.2208 (multiplicity 4)
Ho 0.0000 0.5000 0.5000 (multiplicity 2)
Ho 0.2155 0.5000 0.6318 (multiplicity 4)
Th 0.1522 0.5000 0.9573 (multiplicity 4)